Sr2Co2NiO6: relaxed, GGA+U.

Computed properties:
Total energy = -5.69 eV/atom
Magnetization = 30.00 μB/cell

Unit cell a=5.8049 b=5.8049 c=16.1794 alpha=90.00 beta=90.00 gamma=120.00
Space group R-3m (No. 166, hexagonal axes)
Unique sites:
Sr 0.0000 0.0000 0.2099 x6
Co 0.0000 0.0000 0.4161 x6
Ni 0.0000 0.0000 0.0000 x3
O 0.0175 0.5087 0.7509 x18